This record from Alexandria describes InSbCl2 after structural relaxation. The functional is PBEsol.

abc: 3.431 4.663 5.711
angles: 90.00 90.00 90.00
Element x y z (fractional)
1 In 0.000 0.000 0.000
2 Sb 0.500 0.000 0.500
3 Cl 0.000 0.500 0.500
4 Cl 0.500 0.500 0.000

Properties
Space group   Pmmm, No. 47
M_tot   0.000 μB per atom
Energy relative to the elements, uncorrected   -1.6 eV per formula unit
Energy   -13.1 eV per formula unit
Polymorph energy (0 for the lowest one)   0 meV/atom